Rb2CdAgAu | PBE | relaxed

calculated volume	45.7	A^3/atom
total magnetization	0.000	μB per atom
VASP energy	-8.93	eV per formula unit
energy relative to the elements	0.010	eV/atom

Lattice parameters (Å, degrees): 6.5050 6.5050 5.4023 90.00 90.00 90.00
Space group P4/mmm (No. 123)
Inequivalent atoms, fractional coordinates:
Rb (0.0000, 0.5000, 0.0000)
Cd (0.0000, 0.0000, 0.5000)
Ag (0.5000, 0.5000, 0.5000)
Au (0.0000, 0.0000, 0.0000)

Rb2Cd6AgAu | PBE | relaxed

calculated volume	32.4	A^3/atom
total magnetization	0.000	μB per atom
VASP energy	-14.00	eV per formula unit
energy relative to the elements	-0.045	eV/atom

Lattice parameters (Å, degrees): 7.6891 7.7455 10.8847 90.00 90.00 90.00
Space group Immm (No. 71)
Inequivalent atoms, fractional coordinates:
Rb (0.0000, 0.0000, 0.2501)
Cd (0.0000, 0.5000, 0.2499)
Cd (0.2495, 0.2497, 0.0000)
Ag (0.0000, 0.5000, 0.0000)
Au (0.0000, 0.5000, 0.5000)

RbCd4Ag2Au | PBE | relaxed

calculated volume	26.6	A^3/atom
total magnetization	0.000	μB per atom
VASP energy	-13.94	eV per formula unit
energy relative to the elements	-0.041	eV/atom

Lattice parameters (Å, degrees): 4.7569 4.7569 32.6007 90.00 90.00 120.00
Space group R-3m (No. 166, hexagonal axes)
Inequivalent atoms, fractional coordinates:
Rb (0.0000, 0.0000, 0.0000)
Cd (0.0000, 0.0000, 0.1364)
Cd (0.0000, 0.0000, 0.4117)
Ag (0.0000, 0.0000, 0.2331)
Au (0.0000, 0.0000, 0.5000)

Rb2Cd3AgAu4 | PBE | relaxed

calculated volume	27.3	A^3/atom
total magnetization	0.000	μB per atom
VASP energy	-22.37	eV per formula unit
energy relative to the elements	-0.173	eV/atom

Lattice parameters (Å, degrees): 4.9425 4.9425 11.1912 90.00 90.00 90.00
Space group P-4m2 (No. 115)
Inequivalent atoms, fractional coordinates:
Rb (0.0000, 0.5000, 0.2486)
Cd (0.0000, 0.5000, 0.8762)
Cd (0.5000, 0.5000, 0.5000)
Ag (0.0000, 0.0000, 0.5000)
Au (0.0000, 0.0000, 0.0000)
Au (0.0000, 0.5000, 0.6279)
Au (0.5000, 0.5000, 0.0000)

CdAgRhAu | PBE | relaxed

calculated volume	17.4	A^3/atom
total magnetization	0.000	μB per atom
VASP energy	-14.43	eV per formula unit
energy relative to the elements	-0.010	eV/atom

Lattice parameters (Å, degrees): 6.5306 6.5306 6.5306 90.00 90.00 90.00
Space group F-43m (No. 216)
Inequivalent atoms, fractional coordinates:
Cd (0.0000, 0.0000, 0.0000)
Ag (0.2500, 0.2500, 0.2500)
Rh (0.2500, 0.2500, 0.7500)
Au (0.0000, 0.0000, 0.5000)

CdAgRuAu2 | PBE | relaxed

calculated volume	26.0	A^3/atom
total magnetization	0.331	μB per atom
VASP energy	-14.91	eV per formula unit
energy relative to the elements	0.938	eV/atom

Lattice parameters (Å, degrees): 5.0335 5.0335 5.1283 90.00 90.00 90.00
Space group P4/mmm (No. 123)
Inequivalent atoms, fractional coordinates:
Cd (0.0000, 0.0000, 0.0000)
Ag (0.5000, 0.5000, 0.0000)
Ru (0.0000, 0.0000, 0.5000)
Au (0.0000, 0.5000, 0.5000)

CdAgSbAu | PBE | relaxed

uncorrected formation energy	0.08	eV/atom
calculated volume	21.4	A^3/atom
total magnetization	0.000	μB per atom
VASP energy	-10.85	eV per formula unit

Lattice parameters (Å, degrees): 6.9933 6.9933 6.9933 90.00 90.00 90.00
Space group F-43m (No. 216)
Inequivalent atoms, fractional coordinates:
Cd (0.0000, 0.0000, 0.0000)
Ag (0.2500, 0.2500, 0.7500)
Sb (0.0000, 0.0000, 0.5000)
Au (0.2500, 0.2500, 0.2500)

Sc4CdAgAu2 | PBE | relaxed

calculated volume	20.3	A^3/atom
total magnetization	0.000	μB per atom
VASP energy	-39.96	eV per formula unit
energy relative to the elements	-0.540	eV/atom

Lattice parameters (Å, degrees): 4.8648 4.8648 23.8170 90.00 90.00 120.00
Space group R-3m (No. 166, hexagonal axes)
Inequivalent atoms, fractional coordinates:
Sc (0.0000, 0.0000, 0.1222)
Sc (0.0000, 0.0000, 0.3726)
Cd (0.0000, 0.0000, 0.5000)
Ag (0.0000, 0.0000, 0.0000)
Au (0.0000, 0.0000, 0.2467)

Sc4CdAg2Au | PBE | relaxed

calculated volume	20.6	A^3/atom
total magnetization	0.000	μB per atom
VASP energy	-38.55	eV per formula unit
energy relative to the elements	-0.416	eV/atom

Lattice parameters (Å, degrees): 4.8842 4.8842 23.8824 90.00 90.00 120.00
Space group R-3m (No. 166, hexagonal axes)
Inequivalent atoms, fractional coordinates:
Sc (0.0000, 0.0000, 0.1204)
Sc (0.0000, 0.0000, 0.3711)
Cd (0.0000, 0.0000, 0.5000)
Ag (0.0000, 0.0000, 0.2439)
Au (0.0000, 0.0000, 0.0000)

Sm2CdAgAu4 | PBE | relaxed

calculated volume	21.8	A^3/atom
total magnetization	0.000	μB per atom
VASP energy	-31.22	eV per formula unit
energy relative to the elements	-0.613	eV/atom

Lattice parameters (Å, degrees): 4.9911 4.9911 24.2646 90.00 90.00 120.00
Space group R-3m (No. 166, hexagonal axes)
Inequivalent atoms, fractional coordinates:
Sm (0.0000, 0.0000, 0.2486)
Cd (0.0000, 0.0000, 0.0000)
Ag (0.0000, 0.0000, 0.5000)
Au (0.0000, 0.0000, 0.1241)
Au (0.0000, 0.0000, 0.3752)

Sm4CdAg2Au | PBE | relaxed

calculated volume	25.8	A^3/atom
total magnetization	0.000	μB per atom
VASP energy	-32.16	eV per formula unit
energy relative to the elements	-0.423	eV/atom

Lattice parameters (Å, degrees): 5.2636 5.2636 25.8353 90.00 90.00 120.00
Space group R-3m (No. 166, hexagonal axes)
Inequivalent atoms, fractional coordinates:
Sm (0.0000, 0.0000, 0.1205)
Sm (0.0000, 0.0000, 0.3710)
Cd (0.0000, 0.0000, 0.5000)
Ag (0.0000, 0.0000, 0.2433)
Au (0.0000, 0.0000, 0.0000)

CdAg2SnAu2 | PBE | relaxed

calculated volume	21.5	A^3/atom
total magnetization	0.000	μB per atom
VASP energy	-17.21	eV per formula unit
energy relative to the elements	-0.006	eV/atom

Lattice parameters (Å, degrees): 4.9322 4.9322 18.3654 90.00 90.00 120.00
Space group R-3m (No. 166, hexagonal axes)
Inequivalent atoms, fractional coordinates:
Cd (0.0000, 0.0000, 0.0000)
Ag (0.0000, 0.0000, 0.1868)
Sn (0.0000, 0.0000, 0.5000)
Au (0.0000, 0.0000, 0.3447)